No. 1
Entry from the Alexandria database: SrCaMnP2O8 at its PBEsol-relaxed geometry (SCAN).

Calculated values
ρ = 3.733 g/cm3
Uncorrected energy = -12.22 eV per atom
Crystal system = triclinic
E_form (uncorrected) = -2.92 eV per atom
Density of states at the Fermi level = 0.0 states/eV/cell

a = 5.6452 Å, b = 6.8766 Å, c = 9.4848 Å
α = 109.16°, β = 101.28°, γ = 98.89°
Element x y z (fractional)
O 0.4210 0.5776 0.3829
O 0.0334 0.7280 0.5992
O 0.5790 0.4224 0.6171
O 0.8514 0.5534 0.8814
O 0.3814 0.0364 0.6357
O 0.0375 0.9071 0.3157
O 0.6678 0.8093 0.7756
O 0.6139 0.4529 0.1569
O 0.9666 0.2720 0.4008
O 0.9625 0.0929 0.6843
O 0.2662 0.9990 0.8728
O 0.3861 0.5471 0.8431
O 0.1486 0.4466 0.1186
O 0.3322 0.1907 0.2244
O 0.6186 0.9636 0.3643
O 0.7338 0.0010 0.1272
P 0.3833 0.4128 0.2158
P 0.1655 0.9642 0.7029
P 0.6167 0.5872 0.7842
P 0.8345 0.0358 0.2971
Ca 0.0108 0.4198 0.6633
Ca 0.9892 0.5802 0.3367
Mn 0.6310 0.8387 0.5600
Mn 0.3690 0.1613 0.4400
Sr 0.7356 0.1926 0.9390
Sr 0.2644 0.8074 0.0610

No. 2
Entry from the Alexandria database: CaTi8MnP12O48 at its PBEsol-relaxed geometry (SCAN).

Calculated values
ρ = 2.985 g/cm3
Uncorrected energy = -11.13 eV per atom
Crystal system = trigonal
E_form (uncorrected) = -2.84 eV per atom
Density of states at the Fermi level = 0.0 states/eV/cell

a = 8.5435 Å, b = 8.5435 Å, c = 15.0660 Å
α = 73.53°, β = 73.53°, γ = 60.00°
Element x y z (fractional)
Ca 0.5000 0.5000 0.5000
O 0.5373 0.3262 0.9701
O 0.8336 0.4627 0.0299
O 0.7208 0.5456 0.3693
O 0.2847 0.9111 0.7158
O 0.9507 0.5860 0.6132
O 0.3208 0.4623 0.1237
O 0.6926 0.0532 0.4592
O 0.8564 0.1960 0.8843
O 0.0889 0.9117 0.2842
O 0.1664 0.5373 0.9701
O 0.9117 0.7153 0.2842
O 0.5860 0.8501 0.6132
O 0.3262 0.1664 0.9701
O 0.9068 0.6792 0.8763
O 0.6133 0.7752 0.2071
O 0.0932 0.3208 0.1237
O 0.9111 0.0883 0.7158
O 0.8040 0.9367 0.1157
O 0.0532 0.7949 0.4592
O 0.1499 0.0493 0.3868
O 0.3867 0.2248 0.7929
O 0.2051 0.3074 0.5408
O 0.4623 0.0932 0.1237
O 0.6356 0.2792 0.6307
O 0.0883 0.2847 0.7158
O 0.5377 0.9068 0.8763
O 0.0633 0.8564 0.8843
O 0.9367 0.1436 0.1157
O 0.7153 0.0889 0.2842
O 0.8501 0.9507 0.6132
O 0.3074 0.9468 0.5408
O 0.4140 0.1499 0.3868
O 0.7949 0.6926 0.4592
O 0.6792 0.5377 0.8763
O 0.5956 0.3867 0.7929
O 0.0493 0.4140 0.3868
O 0.1960 0.0633 0.8843
O 0.2792 0.4544 0.6307
O 0.7752 0.4044 0.2071
O 0.3644 0.7208 0.3693
O 0.4544 0.6356 0.6307
O 0.6738 0.8336 0.0299
O 0.2248 0.5956 0.7929
O 0.1436 0.8040 0.1157
O 0.4627 0.6738 0.0299
O 0.5456 0.3644 0.3693
O 0.4044 0.6133 0.2071
O 0.9468 0.2051 0.5408
P 0.3640 0.0898 0.8827
P 0.8382 0.1294 0.6242
P 0.3365 0.6360 0.1173
P 0.6360 0.9102 0.1173
P 0.4082 0.8382 0.6242
P 0.1294 0.4082 0.6242
P 0.6635 0.3640 0.8827
P 0.8706 0.5918 0.3758
P 0.9102 0.3365 0.1173
P 0.5918 0.1618 0.3758
P 0.0898 0.6635 0.8827
P 0.1618 0.8706 0.3758
Ti 0.5749 0.5749 0.2752
Ti 0.9280 0.9280 0.2159
Ti 0.1803 0.1803 0.4591
Ti 0.0720 0.0720 0.7841
Ti 0.6833 0.6833 0.9500
Ti 0.4251 0.4251 0.7248
Ti 0.8197 0.8197 0.5409
Ti 0.3167 0.3167 0.0500
Mn 0.0000 0.0000 0.0000

No. 3
Entry from the Alexandria database: CaTiMnP3O12 at its PBEsol-relaxed geometry (SCAN).

Calculated values
ρ = 3.099 g/cm3
Uncorrected energy = -11.10 eV per atom
Crystal system = monoclinic
E_form (uncorrected) = -2.77 eV per atom
Density of states at the Fermi level = 0.4 states/eV/cell

a = 8.5408 Å, b = 8.5723 Å, c = 8.7317 Å
α = 61.07°, β = 60.72°, γ = 60.12°
Element x y z (fractional)
O 0.0825 0.2274 0.2548
O 0.0002 0.7040 0.4227
O 0.6246 0.5099 0.5723
O 0.2932 0.0099 0.0723
O 0.8730 0.2040 0.9227
O 0.3727 0.4984 0.4258
O 0.7892 0.1188 0.5732
O 0.1293 0.7946 0.0700
O 0.5807 0.9287 0.7590
O 0.9379 0.5862 0.2459
O 0.0523 0.4253 0.7466
O 0.5187 0.6188 0.0732
O 0.2299 0.0862 0.7459
O 0.7031 0.9984 0.9258
O 0.7758 0.9253 0.2466
O 0.2719 0.5528 0.7510
O 0.9233 0.7698 0.7522
O 0.7316 0.4287 0.2590
O 0.4354 0.7274 0.7548
O 0.5547 0.2698 0.2522
O 0.4242 0.0528 0.2510
O 0.0061 0.2946 0.5700
O 0.2039 0.8716 0.4252
O 0.4993 0.3716 0.9252
Ca 0.9979 0.4942 0.0067
Ca 0.5013 0.9942 0.5067
Ti 0.1453 0.6461 0.5618
Ti 0.6468 0.1461 0.0618
P 0.0404 0.2512 0.7442
P 0.2505 0.0390 0.2492
P 0.7496 0.9580 0.7502
P 0.5422 0.4580 0.2502
P 0.9641 0.7512 0.2442
P 0.4613 0.5390 0.7492
Mn 0.8523 0.3517 0.4393
Mn 0.3568 0.8517 0.9393

No. 4
Entry from the Alexandria database: CaPrMn2O6 at its PBEsol-relaxed geometry (SCAN).

Calculated values
ρ = 5.908 g/cm3
Uncorrected energy = -15.58 eV per atom
Crystal system = orthorhombic
E_form (uncorrected) = -2.89 eV per atom
Density of states at the Fermi level = 2.8 states/eV/cell

a = 5.3510 Å, b = 5.3728 Å, c = 7.5642 Å
α = 90.00°, β = 90.00°, γ = 90.00°
Element x y z (fractional)
O 0.7800 0.0304 0.7843
O 0.7168 0.5332 0.7884
O 0.2800 0.9696 0.7157
O 0.2800 0.9696 0.2843
O 0.2168 0.4668 0.7116
O 0.7800 0.0304 0.2157
O 0.5714 0.2600 0.5000
O 0.0714 0.7400 0.0000
O 0.7168 0.5332 0.2116
O 0.9351 0.7626 0.5000
O 0.4351 0.2374 0.0000
O 0.2168 0.4668 0.2884
Mn 0.9996 0.7509 0.7504
Mn 0.4996 0.2491 0.7496
Mn 0.4996 0.2491 0.2504
Mn 0.9996 0.7509 0.2496
Pr 0.9929 0.2825 0.0000
Pr 0.4929 0.7175 0.5000
Ca 0.5078 0.7881 0.0000
Ca 0.0078 0.2119 0.5000

No. 5
Entry from the Alexandria database: Ca4Mn3SbO12 at its PBEsol-relaxed geometry (SCAN).

Calculated values
ρ = 4.898 g/cm3
Uncorrected energy = -12.88 eV per atom
Crystal system = triclinic
E_form (uncorrected) = -2.60 eV per atom
Density of states at the Fermi level = 2.2 states/eV/cell

a = 5.3360 Å, b = 5.4062 Å, c = 7.5086 Å
α = 90.05°, β = 90.04°, γ = 90.00°
Element x y z (fractional)
O 0.5742 0.0172 0.7526
O 0.9155 0.5216 0.7448
O 0.2829 0.7165 0.5359
O 0.7852 0.7829 0.4630
O 0.2050 0.1991 0.9538
O 0.4258 0.9828 0.2474
O 0.7950 0.8009 0.0462
O 0.2148 0.2171 0.5370
O 0.0845 0.4784 0.2552
O 0.3035 0.7060 0.9548
O 0.7171 0.2835 0.4641
O 0.6965 0.2940 0.0452
Mn 0.5000 0.0000 0.5000
Mn 0.0000 0.5000 0.5000
Mn 0.5000 0.0000 0.0000
Ca 0.0060 0.9609 0.7322
Ca 0.4885 0.4516 0.7334
Ca 0.9940 0.0391 0.2678
Ca 0.5115 0.5484 0.2666
Sb 0.0000 0.5000 0.0000

No. 6
Entry from the Alexandria database: Ca2MnSbO6 at its PBEsol-relaxed geometry (SCAN).

Calculated values
ρ = 5.072 g/cm3
Uncorrected energy = -13.73 eV per atom
Crystal system = monoclinic
E_form (uncorrected) = -2.51 eV per atom
Density of states at the Fermi level = 2.2 states/eV/cell

a = 5.4272 Å, b = 5.5633 Å, c = 7.6516 Å
α = 90.00°, β = 90.02°, γ = 90.00°
Element x y z (fractional)
Mn 0.5000 0.0000 0.5000
Mn 0.0000 0.5000 0.0000
O 0.7964 0.2057 0.4536
O 0.7962 0.2046 0.0466
O 0.4100 0.0276 0.2540
O 0.7038 0.7046 0.4534
O 0.2964 0.2943 0.9536
O 0.2962 0.2954 0.5466
O 0.2036 0.7943 0.5464
O 0.7036 0.7057 0.0464
O 0.0900 0.5276 0.2460
O 0.9100 0.4724 0.7540
O 0.5900 0.9724 0.7460
O 0.2038 0.7954 0.9534
Ca 0.5118 0.4492 0.2502
Ca 0.9882 0.9492 0.2498
Ca 0.4882 0.5508 0.7498
Ca 0.0118 0.0508 0.7502
Sb 0.5000 0.0000 0.0000
Sb 0.0000 0.5000 0.5000

No. 7
Entry from the Alexandria database: Ca2MnSbO6 at its PBEsol-relaxed geometry (SCAN).

Calculated values
ρ = 5.018 g/cm3
Uncorrected energy = -13.73 eV per atom
Crystal system = monoclinic
E_form (uncorrected) = -2.51 eV per atom

a = 5.4973 Å, b = 5.5881 Å, c = 7.6161 Å
α = 90.00°, β = 90.00°, γ = 93.55°
Element x y z (fractional)
O 0.8147 0.7823 0.4498
O 0.8943 0.5391 0.7500
O 0.6965 0.2939 0.4516
O 0.4205 0.9668 0.2500
O 0.3035 0.7061 0.9516
O 0.1853 0.2177 0.9498
O 0.1853 0.2177 0.5502
O 0.8147 0.7823 0.0502
O 0.3035 0.7061 0.5484
O 0.5795 0.0332 0.7500
O 0.6965 0.2939 0.0484
O 0.1057 0.4609 0.2500
Ca 0.5215 0.5625 0.2500
Ca 0.4785 0.4375 0.7500
Ca 0.9923 0.9614 0.7500
Ca 0.0077 0.0386 0.2500
Mn 0.5000 0.0000 0.0000
Mn 0.5000 0.0000 0.5000
Sb 0.0000 0.5000 0.5000
Sb 0.0000 0.5000 0.0000

No. 8
Entry from the Alexandria database: Ca3Mn2Si4O14 at its PBEsol-relaxed geometry (SCAN).

Calculated values
ρ = 3.480 g/cm3
Uncorrected energy = -11.40 eV per atom
Crystal system = monoclinic
E_form (uncorrected) = -3.02 eV per atom
Density of states at the Fermi level = 0.0 states/eV/cell

a = 7.6311 Å, b = 9.2464 Å, c = 9.7079 Å
α = 63.73°, β = 66.86°, γ = 65.63°
Element x y z (fractional)
Si 0.8885 0.3038 0.3421
Si 0.4646 0.3927 0.3555
Si 0.4655 0.8038 0.8421
Si 0.2128 0.1073 0.1445
Si 0.7872 0.8927 0.8555
Si 0.5345 0.1962 0.1579
Si 0.1115 0.6962 0.6579
Si 0.5354 0.6073 0.6445
O 0.3253 0.7419 0.5912
O 0.2610 0.8128 0.9824
O 0.0522 0.1236 0.3171
O 0.9761 0.9152 0.2164
O 0.3416 0.2419 0.0912
O 0.4718 0.9591 0.6773
O 0.5452 0.4145 0.6860
O 0.8918 0.4591 0.1773
O 0.6584 0.7581 0.9088
O 0.6457 0.0855 0.8140
O 0.4548 0.5855 0.3140
O 0.9478 0.8764 0.6829
O 0.7062 0.6795 0.4945
O 0.9438 0.3128 0.4824
O 0.2938 0.3205 0.5055
O 0.8801 0.8205 0.0055
O 0.1082 0.5409 0.8227
O 0.3543 0.9145 0.1860
O 0.5070 0.6236 0.8171
O 0.1199 0.1795 0.9945
O 0.6747 0.2581 0.4088
O 0.4930 0.3764 0.1829
O 0.7390 0.1872 0.0176
O 0.1077 0.5848 0.2836
O 0.8923 0.4152 0.7164
O 0.0239 0.0848 0.7836
O 0.0562 0.6872 0.5176
O 0.5282 0.0409 0.3227
Mn 0.7853 0.2500 0.7500
Mn 0.2147 0.7500 0.2500
Mn 0.0000 0.5000 0.5000
Mn 0.0000 0.0000 0.0000
Ca 0.3439 0.2500 0.7500
Ca 0.1638 0.5651 0.0416
Ca 0.6561 0.7500 0.2500
Ca 0.8362 0.4349 0.9584
Ca 0.2294 0.0651 0.5416
Ca 0.7706 0.9349 0.4584

No. 9
Entry from the Alexandria database: CaMn2Si4O12 at its PBEsol-relaxed geometry (SCAN).

Calculated values
ρ = 3.548 g/cm3
Uncorrected energy = -11.32 eV per atom
Crystal system = monoclinic
E_form (uncorrected) = -2.85 eV per atom

a = 5.3599 Å, b = 6.4186 Å, c = 6.4186 Å
α = 84.56°, β = 79.16°, γ = 79.16°
Element x y z (fractional)
O 0.4355 0.6245 0.1097
O 0.5952 0.1871 0.0471
O 0.4048 0.9529 0.8129
O 0.9163 0.8033 0.9622
O 0.9619 0.0897 0.6187
O 0.0381 0.3813 0.9103
O 0.2557 0.6585 0.6214
O 0.5645 0.8903 0.3755
O 0.7689 0.6405 0.6490
O 0.2311 0.3510 0.3595
O 0.7443 0.3786 0.3415
O 0.0837 0.0378 0.1967
Si 0.4894 0.7943 0.6190
Si 0.5106 0.3810 0.2057
Si 0.0025 0.2057 0.3856
Si 0.9975 0.6144 0.7943
Ca 0.0000 0.6995 0.3005
Mn 0.0000 0.0992 0.9008
Mn 0.5000 0.9107 0.0893

No. 10
Entry from the Alexandria database: Ca3Mn2Si3O12 at its PBEsol-relaxed geometry (SCAN).

Calculated values
ρ = 3.854 g/cm3
Uncorrected energy = -11.53 eV per atom
Crystal system = tetragonal
E_form (uncorrected) = -3.02 eV per atom

a = 10.4316 Å, b = 10.4316 Å, c = 10.4316 Å
α = 107.12°, β = 110.66°, γ = 110.66°
Element x y z (fractional)
O 0.8557 0.3690 0.3176
O 0.9377 0.5757 0.2078
O 0.3557 0.2881 0.7368
O 0.1443 0.1824 0.1310
O 0.5513 0.2632 0.6190
O 0.4487 0.0676 0.7119
O 0.3679 0.0757 0.1380
O 0.7628 0.5883 0.7441
O 0.1321 0.6743 0.1120
O 0.2628 0.7687 0.4245
O 0.9377 0.8620 0.2299
O 0.6443 0.7632 0.2119
O 0.2372 0.7559 0.9117
O 0.8557 0.9868 0.0381
O 0.5513 0.7881 0.4324
O 0.3679 0.7922 0.7299
O 0.0623 0.2922 0.9243
O 0.8679 0.9799 0.5422
O 0.1558 0.1745 0.4117
O 0.9487 0.9619 0.8176
O 0.0623 0.2701 0.6380
O 0.2372 0.9813 0.8255
O 0.3442 0.5755 0.8383
O 0.8442 0.2559 0.0187
O 0.5623 0.8880 0.0201
O 0.0513 0.6824 0.5381
O 0.9487 0.4868 0.6310
O 0.7372 0.0755 0.7313
O 0.3442 0.2687 0.0059
O 0.1443 0.4619 0.5132
O 0.6443 0.3810 0.9324
O 0.6321 0.7701 0.7078
O 0.0513 0.8690 0.0132
O 0.4487 0.8810 0.2368
O 0.6558 0.4941 0.2313
O 0.8679 0.3880 0.8257
O 0.1558 0.4813 0.2441
O 0.4377 0.4578 0.3257
O 0.5623 0.1743 0.0422
O 0.4377 0.4799 0.6120
O 0.1321 0.9578 0.5201
O 0.2628 0.9941 0.3383
O 0.3557 0.5676 0.1190
O 0.7372 0.1617 0.5059
O 0.8442 0.0883 0.3255
O 0.6558 0.6617 0.9245
O 0.7628 0.6745 0.5187
O 0.6321 0.3620 0.4243
Mn 0.2500 0.8750 0.6250
Mn 0.7500 0.3750 0.1250
Mn 0.2500 0.3750 0.1250
Mn 0.2500 0.8750 0.1250
Mn 0.7500 0.8750 0.6250
Mn 0.7500 0.8750 0.1250
Mn 0.2500 0.3750 0.6250
Mn 0.7500 0.3750 0.6250
Ca 0.8711 0.7461 0.3750
Ca 0.0000 0.7500 0.7500
Ca 0.1289 0.5039 0.8750
Ca 0.5000 0.0000 0.5000
Ca 0.8711 0.6250 0.9961
Ca 0.6289 0.1250 0.2539
Ca 0.3711 0.2461 0.3750
Ca 0.3711 0.6250 0.4961
Ca 0.5000 0.5000 0.0000
Ca 0.6289 0.0039 0.8750
Ca 0.0000 0.2500 0.2500
Ca 0.1289 0.1250 0.7539
Si 0.3761 0.1250 0.0011
Si 0.0000 0.0000 0.0000
Si 0.1239 0.9989 0.3750
Si 0.6239 0.6250 0.7489
Si 0.8761 0.1250 0.5011
Si 0.3761 0.7511 0.8750
Si 0.5000 0.2500 0.7500
Si 0.0000 0.5000 0.5000
Si 0.5000 0.7500 0.2500
Si 0.8761 0.2511 0.8750
Si 0.6239 0.4989 0.3750
Si 0.1239 0.6250 0.2489

Q: Which formula does entry 8 have?
A: Ca3Mn2Si4O14

Q: Look up the uncorrected energy of the tenth one.
A: -11.53 eV per atom

Q: Among the records above, which one has the lowest uncorrected energy?
A: CaPrMn2O6

Q: What is the ρ in the fourth record?
A: 5.908 g/cm3